1.
Entry from Alexandria via LeMat-Bulk: a crystal of KIn2Cu2 relaxed with PBEsol (meta-GGA SCAN).

Lattice parameters (Å, degrees): 4.7658 4.7658 10.2592 90.00 90.00 90.00
Closest atoms and distances in Å follow each position.
Space group I4/mmm (No. 139)
Symmetry-distinct sites (fractional):
K 0.0000 0.0000 0.0000 (multiplicity 2)  8 Cu 3.50, 10 In 3.61-3.70
In 0.0000 0.0000 0.3515 (multiplicity 4)  4 Cu 2.60
Cu 0.0000 0.5000 0.2500 (multiplicity 4)  4 In 2.60

The formation energy is 0.038 eV/atom. As for the raw total energy: -21.06 eV per atom.

***

2.
Entry from Alexandria via LeMat-Bulk: a crystal of SbRhF2 relaxed with PBEsol (meta-GGA SCAN).

Lattice parameters (Å, degrees): 3.7285 3.7285 15.9762 90.00 90.00 90.00
Closest atoms and distances in Å follow each position.
Space group I-42d (No. 122)
Symmetry-distinct sites (fractional):
Sb 0.0000 0.0000 0.0000 (multiplicity 4)  4 F 2.39, 4 Rh 2.64
Rh 0.0000 0.0000 0.5000 (multiplicity 4)  4 F 2.40, 4 Sb 2.64
F 0.2465 0.2500 0.1250 (multiplicity 8)  2 Sb 2.39, 2 Rh 2.40, 4 F 2.62-2.65

Its uncorrected formation energy is -1079 meV per atom. As for the raw total energy: -20.61 eV per atom.